[1]
Here is a relaxed La2RhAu crystal from the Alexandria database. Energies are from PBEsol. Values from VASP.

```
&SYSTEM
  ibrav = 0, nat = 4, ntyp = 3
/
ATOMIC_SPECIES
La 138.91 La.upf
Rh 102.91 Rh.upf
Au 196.97 Au.upf
CELL_PARAMETERS angstrom
3.6091 0.0000 0.0000
0.0000 3.6091 0.0000
0.0000 0.0000 7.2591
ATOMIC_POSITIONS angstrom
La 0.0000 0.0000 1.6855
La 0.0000 0.0000 5.5736
Rh 1.8046 1.8046 0.0000
Au 1.8046 1.8046 3.6295
```

Space group = P4/mmm
Magnetic moment = 0.0 μB per formula unit
Formation energy = -0.67 eV/atom

---

[2]
Here is a relaxed Ta2CrAs crystal from the Alexandria database. Energies are from PBEsol. Values from VASP.

```
&SYSTEM
  ibrav = 0, nat = 4, ntyp = 3
/
ATOMIC_SPECIES
Ta 180.95 Ta.upf
Cr 52.00 Cr.upf
As 74.92 As.upf
CELL_PARAMETERS angstrom
4.1902 0.0000 0.0000
0.0000 4.1902 0.0000
0.0000 0.0000 3.4606
ATOMIC_POSITIONS angstrom
Ta 0.0000 2.0951 0.0000
Ta 2.0951 0.0000 0.0000
Cr 0.0000 0.0000 1.7303
As 2.0951 2.0951 1.7303
```

Space group = P4/mmm
Magnetic moment = 0.6 μB per formula unit
Formation energy = 0.01 eV/atom

---

[3]
Here is a relaxed NaLiGe4O9 crystal from the Alexandria database. Energies are from PBEsol. Values from VASP.

```
&SYSTEM
  ibrav = 0, nat = 60, ntyp = 4
/
ATOMIC_SPECIES
Na 22.99 Na.upf
Li 6.94 Li.upf
Ge 72.64 Ge.upf
O 16.00 O.upf
CELL_PARAMETERS angstrom
15.9235 0.0000 0.0000
0.0000 4.6962 0.0000
0.0000 0.0000 9.3440
ATOMIC_POSITIONS angstrom
Na 0.7543 0.1159 0.0000
Na 7.2074 0.1159 4.6720
Na 8.7161 4.5802 0.0000
Na 15.1692 4.5802 4.6720
Li 3.7561 4.5084 7.3489
Li 4.2056 4.5084 2.6770
Li 11.7179 0.1878 7.3489
Li 12.1673 0.1878 2.6770
Ge 1.5182 2.3083 2.9019
Ge 1.5684 2.3988 6.7994
Ge 2.4535 4.6889 4.8549
Ge 3.3055 2.3463 0.1989
Ge 4.6563 2.3463 4.8709
Ge 5.5082 4.6889 0.1829
Ge 6.3934 2.3988 2.1274
Ge 6.4436 2.3083 7.5739
Ge 9.4799 2.3878 2.9019
Ge 9.5301 2.2974 6.7994
Ge 10.4153 0.0073 4.8549
Ge 11.2672 2.3499 0.1989
Ge 12.6180 2.3499 4.8709
Ge 13.4700 0.0073 0.1829
Ge 14.3551 2.2974 2.1274
Ge 14.4053 2.3878 7.5739
O 0.0592 1.5988 7.3070
O 1.1098 3.6323 5.6523
O 1.1371 1.0464 4.0532
O 2.0921 1.6547 1.3284
O 2.2879 3.1660 8.2796
O 2.6090 1.0612 6.3922
O 2.6168 3.5885 3.3404
O 3.7680 3.5896 5.6985
O 3.8367 1.0384 4.0646
O 4.1250 1.0384 8.7366
O 4.1938 3.5896 1.0265
O 5.3528 1.0612 1.7202
O 5.3450 3.5885 8.0123
O 5.6738 3.1660 3.6076
O 5.8697 1.6547 6.0004
O 6.8246 1.0464 8.7252
O 6.8519 3.6323 0.9804
O 7.9026 1.5988 2.6351
O 8.0209 3.0973 7.3070
O 9.0716 1.0639 5.6523
O 9.0989 3.6497 4.0532
O 10.0538 3.0415 1.3284
O 10.2497 1.5302 8.2796
O 10.5785 1.1077 3.3404
O 10.5707 3.6350 6.3922
O 11.7297 1.1066 5.6985
O 11.7985 3.6577 4.0646
O 12.0867 3.6577 8.7366
O 12.1555 1.1066 1.0265
O 13.3067 1.1077 8.0123
O 13.3145 3.6350 1.7202
O 13.6356 1.5302 3.6076
O 13.8314 3.0415 6.0004
O 14.7863 3.6497 8.7252
O 14.8137 1.0639 0.9804
O 15.8643 3.0973 2.6351
```

Space group = Pca2_1
Formation energy from raw total energies = -1799.0 meV/atom
Magnetic moment = 0.0 μB per formula unit

---

[4]
Here is a relaxed Ca2CrN3 crystal from the Alexandria database. Energies are from PBEsol. Values from VASP.

```
&SYSTEM
  ibrav = 0, nat = 24, ntyp = 3
/
ATOMIC_SPECIES
Ca 40.08 Ca.upf
Cr 52.00 Cr.upf
N 14.01 N.upf
CELL_PARAMETERS angstrom
2.7056 -5.1691 0.0000
2.7056 5.1691 0.0000
0.0000 0.0000 11.5386
ATOMIC_POSITIONS angstrom
Ca 2.7056 4.6534 9.8928
Ca 2.7056 3.7032 4.8498
Ca 2.7056 1.4658 10.6191
Ca 2.7056 0.5156 4.1235
Ca 2.7056 -0.5156 7.4151
Ca 2.7056 -1.4658 0.9195
Ca 2.7056 -3.7032 6.6888
Ca 2.7056 -4.6534 1.6458
Cr 2.7056 2.6318 7.6172
Cr 2.7056 2.5373 1.8479
Cr 2.7056 -2.5373 9.6907
Cr 2.7056 -2.6318 3.9214
N 1.3528 2.1838 8.6539
N 2.7056 4.3278 7.3012
N 2.7056 3.5603 0.4254
N 2.7056 1.6087 6.1946
N 2.7056 0.8413 1.5320
N 1.3528 -2.1838 2.8846
N 4.0584 2.1838 8.6539
N 2.7056 -0.8413 10.0066
N 2.7056 -1.6087 5.3439
N 2.7056 -3.5603 11.1132
N 2.7056 -4.3278 4.2373
N 4.0584 -2.1838 2.8846
```

Space group = Cmce
Formation energy from raw total energies = -1092.2 meV/atom
Magnetic moment = 0.0 μB per formula unit

---

[5]
Here is a relaxed HfBSF2 crystal from the Alexandria database. Energies are from PBEsol. Values from VASP.

```
&SYSTEM
  ibrav = 0, nat = 5, ntyp = 4
/
ATOMIC_SPECIES
Hf 178.49 Hf.upf
B 10.81 B.upf
S 32.06 S.upf
F 19.00 F.upf
CELL_PARAMETERS angstrom
3.9269 0.0000 0.0000
0.0000 3.9269 0.0000
0.0000 0.0000 4.8974
ATOMIC_POSITIONS angstrom
Hf 0.0000 0.0000 0.0000
B 0.0000 0.0000 2.4487
S 1.9634 1.9634 2.4487
F 0.0000 1.9634 0.0000
F 1.9634 0.0000 0.0000
```

Space group = P4/mmm
Formation energy from raw total energies = -1237.5 meV/atom
Magnetic moment = 0.0 μB per formula unit

---

[6]
Here is a relaxed MgPt2W crystal from the Alexandria database. Energies are from PBEsol. Values from VASP.

```
&SYSTEM
  ibrav = 0, nat = 4, ntyp = 3
/
ATOMIC_SPECIES
Mg 24.30 Mg.upf
Pt 195.08 Pt.upf
W 183.84 W.upf
CELL_PARAMETERS angstrom
0.0000 3.1496 3.1496
3.1496 0.0000 3.1496
3.1496 3.1496 0.0000
ATOMIC_POSITIONS angstrom
Mg 0.0000 0.0000 0.0000
Pt 1.5748 1.5748 1.5748
Pt 4.7245 4.7245 4.7245
W 3.1496 3.1496 3.1496
```

Space group = Fm-3m
Magnetic moment = 0.0 μB per formula unit
Formation energy = -0.15 eV/atom

---

[7]
Here is a relaxed NbNi2W crystal from the Alexandria database. Energies are from PBEsol. Values from VASP.

```
&SYSTEM
  ibrav = 0, nat = 4, ntyp = 3
/
ATOMIC_SPECIES
Nb 92.91 Nb.upf
Ni 58.69 Ni.upf
W 183.84 W.upf
CELL_PARAMETERS angstrom
0.0000 3.0075 3.0075
3.0075 0.0000 3.0075
3.0075 3.0075 0.0000
ATOMIC_POSITIONS angstrom
Nb 0.0000 0.0000 0.0000
Ni 1.5038 1.5038 1.5038
Ni 4.5113 4.5113 4.5113
W 3.0075 3.0075 3.0075
```

Space group = Fm-3m
Magnetic moment = 0.0 μB per formula unit
Formation energy = 0.17 eV/atom

---

[8]
Here is a relaxed MgMoI3 crystal from the Alexandria database. Energies are from PBEsol. Values from VASP.

```
&SYSTEM
  ibrav = 0, nat = 5, ntyp = 3
/
ATOMIC_SPECIES
Mg 24.30 Mg.upf
Mo 95.94 Mo.upf
I 126.90 I.upf
CELL_PARAMETERS angstrom
5.4891 0.0000 0.0000
0.0000 5.4891 0.0000
0.0000 0.0000 5.4891
ATOMIC_POSITIONS angstrom
Mg 0.0000 0.0000 0.0000
Mo 2.7446 2.7446 2.7446
I 0.0000 2.7446 2.7446
I 2.7446 0.0000 2.7446
I 2.7446 2.7446 0.0000
```

Space group = Pm-3m
Formation energy from raw total energies = 275.4 meV/atom
Magnetic moment = 2.6 μB per formula unit

---

[9]
Here is a relaxed CsLiH4SO5 crystal from the Alexandria database. Energies are from PBEsol. Values from VASP.

```
&SYSTEM
  ibrav = 0, nat = 12, ntyp = 5
/
ATOMIC_SPECIES
Cs 132.91 Cs.upf
Li 6.94 Li.upf
H 1.01 H.upf
S 32.06 S.upf
O 16.00 O.upf
CELL_PARAMETERS angstrom
5.9307 -2.8307 0.0000
5.9307 2.8307 0.0000
-1.4136 0.0000 4.4124
ATOMIC_POSITIONS angstrom
Cs 0.0000 0.0000 0.0000
Li 7.2014 0.0000 2.7345
H 5.1824 0.0000 0.9172
H 4.6881 0.0000 2.4709
H 8.8133 0.7769 0.9403
H 8.8133 -0.7769 0.9403
S 2.0780 0.0000 3.1958
O 1.4315 1.2236 3.8665
O 3.5427 0.0000 3.6898
O 1.4315 -1.2236 3.8665
O 5.4948 0.0000 1.8724
O 8.7855 0.0000 1.5753
```

Space group = Cm
Magnetic moment = 0.0 μB per formula unit
Total DFT energy (no corrections) = -5.334 eV/atom

---

[10]
Here is a relaxed AlTcMo2 crystal from the Alexandria database. Energies are from PBEsol. Values from VASP.

```
&SYSTEM
  ibrav = 0, nat = 4, ntyp = 3
/
ATOMIC_SPECIES
Al 26.98 Al.upf
Tc 98.00 Tc.upf
Mo 95.94 Mo.upf
CELL_PARAMETERS angstrom
-1.8201 1.8201 4.4379
1.8201 -1.8201 4.4379
1.8201 1.8201 -4.4379
ATOMIC_POSITIONS angstrom
Al 0.0000 0.0000 0.0000
Tc 1.8201 0.0000 2.2189
Mo 0.0000 0.0000 4.4379
Mo 0.0000 1.8201 2.2189
```

Space group = I-4m2
Magnetic moment = 0.0 μB per formula unit
Formation energy = 0.00 eV/atom

---

[11]
Here is a relaxed In2FeNiS crystal from the Alexandria database. Energies are from PBEsol. Values from VASP.

```
&SYSTEM
  ibrav = 0, nat = 5, ntyp = 4
/
ATOMIC_SPECIES
In 114.82 In.upf
Fe 55.84 Fe.upf
Ni 58.69 Ni.upf
S 32.06 S.upf
CELL_PARAMETERS angstrom
4.9756 0.0000 0.0000
0.0000 4.9756 0.0000
0.0000 0.0000 3.9248
ATOMIC_POSITIONS angstrom
In 0.0000 2.4878 0.0000
In 2.4878 0.0000 0.0000
Fe 0.0000 0.0000 0.0000
Ni 2.4878 2.4878 1.9624
S 0.0000 0.0000 1.9624
```

Space group = P4/mmm
Formation energy from raw total energies = 463.8 meV/atom
Magnetic moment = 0.2 μB per formula unit

---

[12]
Here is a relaxed InGeN2F crystal from the Alexandria database. Energies are from PBEsol. Values from VASP.

```
&SYSTEM
  ibrav = 0, nat = 5, ntyp = 4
/
ATOMIC_SPECIES
In 114.82 In.upf
Ge 72.64 Ge.upf
N 14.01 N.upf
F 19.00 F.upf
CELL_PARAMETERS angstrom
3.8639 0.0000 0.0000
0.0000 3.8639 0.0000
0.0000 0.0000 3.7939
ATOMIC_POSITIONS angstrom
In 0.0000 0.0000 0.0000
Ge 1.9320 1.9320 1.8970
N 0.0000 1.9320 1.8970
N 1.9320 0.0000 1.8970
F 1.9320 1.9320 0.0000
```

Space group = P4/mmm
Formation energy from raw total energies = -11.3 meV/atom
Magnetic moment = 0.0 μB per formula unit